1.
! Ca2SiB, optimized geometry, DFT PBE; values from VASP
&SYSTEM
  ibrav = 0, nat = 4, ntyp = 3
/
ATOMIC_SPECIES
Ca 40.08 Ca.upf
B 10.81 B.upf
Si 28.09 Si.upf
CELL_PARAMETERS angstrom
0.000 3.451 3.451
3.451 0.000 3.451
3.451 3.451 0.000
ATOMIC_POSITIONS crystal
Ca 0.250 0.250 0.250
Ca 0.750 0.750 0.750
B 0.000 0.000 0.000
Si 0.500 0.500 0.500
! - ΔE to the lowest computed polymorph (eV/atom) = 0.0000
! - volume (A^3/atom) = 20.550
! - total moment (μB/cell) = 0.00
! - energy relative to the elements, uncorrected (eV/atom) = 0.299

***

2.
! CaSiB3, optimized geometry, DFT PBE; values from VASP
&SYSTEM
  ibrav = 0, nat = 5, ntyp = 3
/
ATOMIC_SPECIES
Ca 40.08 Ca.upf
B 10.81 B.upf
Si 28.09 Si.upf
CELL_PARAMETERS angstrom
4.693 0.000 0.000
0.000 4.693 0.000
0.000 0.000 4.693
ATOMIC_POSITIONS crystal
Ca 0.000 0.000 0.000
B 0.000 0.500 0.000
B 0.000 0.000 0.500
B 0.500 0.000 0.000
Si 0.500 0.500 0.500
! - ΔE to the lowest computed polymorph (eV/atom) = 1.8831
! - volume (A^3/atom) = 20.676
! - total moment (μB/cell) = 0.00
! - energy relative to the elements, uncorrected (eV/atom) = 2.820